DFT (PBE) results for a relaxed PmNdIBr crystal.

abc: 5.379 5.379 5.379
angles: 60.00 60.00 60.00
Fractional positions:
1 Pm 0.000 0.000 0.000
2 Nd 0.500 0.500 0.500
3 I 0.750 0.750 0.750
4 Br 0.250 0.250 0.250

Properties
DFT total energy: -4.035 eV/atom

=====

DFT (PBE) results for a relaxed Tc3BS crystal.

abc: 4.123 4.123 4.123
angles: 90.00 90.00 90.00
Fractional positions:
1 Tc 0.500 0.000 0.000
2 Tc 0.000 0.500 0.000
3 Tc 0.000 0.000 0.500
4 B 0.000 0.000 0.000
5 S 0.500 0.500 0.500

Properties
E above lowest polymorph: 0.0 kJ/mol of atoms

=====

| no. | Fermi-level density of states (states/eV per cell) |
| --- | --- |
| 1 | 1.653 |
| 2 | 3.605 |